Entry 1:
An optimized crystal structure of Hf4Sb3Mo2N3. Source: the Open Quantum Materials Database, functional GGA-PBE.

```
Hf4Sb3Mo2N3
1.0
5.096 -2.932 0.000
5.096 2.932 0.000
-3.418 0.000 13.020
Hf Sb Mo N
8 6 4 6
direct
0.012 0.212 0.086 Hf
0.154 0.303 0.414 Hf
0.212 0.012 0.586 Hf
0.303 0.154 0.914 Hf
0.697 0.846 0.086 Hf
0.788 0.988 0.414 Hf
0.846 0.697 0.586 Hf
0.988 0.788 0.914 Hf
0.101 0.899 0.250 Sb
0.265 0.416 0.747 Sb
0.416 0.265 0.247 Sb
0.584 0.735 0.753 Sb
0.735 0.584 0.253 Sb
0.899 0.101 0.750 Sb
0.381 0.531 0.081 Mo
0.469 0.619 0.419 Mo
0.531 0.381 0.581 Mo
0.619 0.469 0.919 Mo
0.000 0.500 0.000 N
0.142 0.678 0.500 N
0.322 0.858 0.000 N
0.500 0.000 0.500 N
0.678 0.142 0.000 N
0.858 0.322 0.500 N
```

Properties
E_tot   -213.953 eV for the cell shown

Entry 2:
An optimized crystal structure of Hf4Si3Mo2N3. Source: the Open Quantum Materials Database, functional GGA-PBE.

```
Hf4Si3Mo2N3
1.0
4.753 -2.751 0.000
4.753 2.751 0.000
-3.191 0.000 12.891
Hf Si Mo N
8 6 4 6
direct
0.027 0.207 0.099 Hf
0.140 0.300 0.400 Hf
0.207 0.027 0.599 Hf
0.300 0.140 0.900 Hf
0.700 0.860 0.100 Hf
0.793 0.973 0.401 Hf
0.860 0.700 0.600 Hf
0.973 0.793 0.901 Hf
0.140 0.860 0.250 Si
0.305 0.418 0.749 Si
0.418 0.305 0.249 Si
0.582 0.695 0.751 Si
0.695 0.582 0.251 Si
0.860 0.140 0.750 Si
0.376 0.531 0.091 Mo
0.469 0.624 0.409 Mo
0.531 0.376 0.591 Mo
0.624 0.469 0.909 Mo
0.000 0.500 0.000 N
0.139 0.680 0.500 N
0.320 0.861 0.000 N
0.500 0.000 0.500 N
0.680 0.139 0.000 N
0.861 0.320 0.500 N
```

Properties
E_tot   -226.522 eV for the cell shown

Entry 3:
An optimized crystal structure of Hf4Sn3Mo2N3. Source: the Open Quantum Materials Database, functional GGA-PBE.

```
Hf4Sn3Mo2N3
1.0
4.937 -2.830 0.000
4.937 2.830 0.000
-3.296 0.000 13.864
Hf Sn Mo N
8 6 4 6
direct
0.012 0.211 0.084 Hf
0.154 0.303 0.416 Hf
0.211 0.012 0.584 Hf
0.303 0.154 0.916 Hf
0.697 0.846 0.084 Hf
0.789 0.988 0.416 Hf
0.846 0.697 0.584 Hf
0.988 0.789 0.916 Hf
0.099 0.901 0.250 Sn
0.267 0.415 0.747 Sn
0.415 0.267 0.247 Sn
0.585 0.733 0.753 Sn
0.733 0.585 0.253 Sn
0.901 0.099 0.750 Sn
0.385 0.530 0.083 Mo
0.470 0.615 0.417 Mo
0.530 0.385 0.583 Mo
0.615 0.470 0.917 Mo
0.000 0.500 0.000 N
0.142 0.678 0.500 N
0.322 0.858 0.000 N
0.500 0.000 0.500 N
0.678 0.142 0.000 N
0.858 0.322 0.500 N
```

Properties
E_tot   -214.169 eV for the cell shown

Entry 4:
An optimized crystal structure of Hf2Tl3Mo4N3. Source: the Open Quantum Materials Database, functional GGA-PBE.

```
Hf2Tl3Mo4N3
1.0
4.861 -2.810 0.000
4.861 2.810 0.000
-2.989 0.000 13.947
Hf Tl Mo N
4 6 8 6
direct
0.023 0.846 0.585 Hf
0.154 0.977 0.915 Hf
0.846 0.023 0.085 Hf
0.977 0.154 0.415 Hf
0.077 0.274 0.744 Tl
0.274 0.077 0.244 Tl
0.435 0.565 0.750 Tl
0.565 0.435 0.250 Tl
0.726 0.923 0.756 Tl
0.923 0.726 0.256 Tl
0.187 0.384 0.075 Mo
0.332 0.452 0.426 Mo
0.384 0.187 0.575 Mo
0.452 0.332 0.926 Mo
0.548 0.668 0.074 Mo
0.616 0.813 0.425 Mo
0.668 0.548 0.574 Mo
0.813 0.616 0.925 Mo
0.000 0.500 0.500 N
0.154 0.691 0.999 N
0.309 0.846 0.501 N
0.500 0.000 0.000 N
0.691 0.154 0.499 N
0.846 0.309 0.001 N
```

Properties
E_tot   -196.819 eV for the cell shown

Entry 5:
An optimized crystal structure of Hf2Zn3Mo4N3. Source: the Open Quantum Materials Database, functional GGA-PBE.

```
Hf2Zn3Mo4N3
1.0
4.654 -2.695 0.000
4.654 2.695 0.000
-3.110 0.000 13.190
Hf Zn Mo N
4 6 8 6
direct
0.035 0.866 0.609 Hf
0.134 0.965 0.891 Hf
0.866 0.035 0.109 Hf
0.965 0.134 0.391 Hf
0.082 0.387 0.748 Zn
0.387 0.082 0.248 Zn
0.442 0.558 0.250 Zn
0.558 0.442 0.750 Zn
0.613 0.918 0.752 Zn
0.918 0.613 0.252 Zn
0.195 0.373 0.078 Mo
0.322 0.456 0.422 Mo
0.373 0.195 0.578 Mo
0.456 0.322 0.922 Mo
0.544 0.678 0.078 Mo
0.627 0.805 0.422 Mo
0.678 0.544 0.578 Mo
0.805 0.627 0.922 Mo
0.000 0.500 0.500 N
0.148 0.705 0.000 N
0.295 0.852 0.500 N
0.500 0.000 0.000 N
0.705 0.148 0.500 N
0.852 0.295 0.000 N
```

Properties
E_tot   -195.365 eV for the cell shown

Entry 6:
An optimized crystal structure of NaHfMo. Source: the Open Quantum Materials Database, functional GGA-PBE.

```
NaHfMo
1.0
0.000 3.167 3.167
3.167 0.000 3.167
3.167 3.167 0.000
Na Hf Mo
1 1 1
direct
0.000 0.000 0.000 Na
0.750 0.750 0.750 Hf
0.250 0.250 0.250 Mo
```

Properties
E_tot   -16.615 eV for the cell shown

Question: Look up the E_tot of the first one.
Answer: -213.953 eV for the cell shown

Question: Number 2 is which compound?
Answer: Hf4Si3Mo2N3